(1)
## Na2F13 (PBE)

Data for Na2F13 after structural relaxation.

Results
Space group ... P-1 (2)
Formation energy without anion corrections ... -9.35 eV/f.u.

Structure (POSCAR):
```
Na2F13
1.0
5.102 1.677 3.205
2.435 7.507 5.119
0.035 2.706 7.820
Na F
2 13
Direct
0.440 0.605 0.146
0.560 0.395 0.854
0.500 0.500 0.500
0.016 0.617 0.935
0.503 0.729 0.750
0.361 0.025 0.912
0.639 0.975 0.088
0.984 0.383 0.065
0.497 0.271 0.250
0.119 0.646 0.500
0.867 0.825 0.250
0.908 0.112 0.281
0.092 0.888 0.719
0.881 0.354 0.500
0.133 0.175 0.750
```

***

(2)
## MgNiAuSe (PBE)

Data for MgNiAuSe after structural relaxation.

Results
Space group ... P4mm (99)
Formation energy without anion corrections ... -1.03 eV/f.u.
Energy relative to the lowest polymorph listed for this composition ... 92 meV per atom

Structure (POSCAR):
```
MgNiAuSe
1.0
3.412 0.000 0.000
0.000 3.412 0.000
0.000 0.000 5.976
Mg Ni Au Se
1 1 1 1
Direct
0.000 0.000 0.822
0.500 0.500 0.140
0.500 0.500 0.613
0.000 0.000 0.253
```

***

(3)
## PrHo2Pu3Se6 (PBE)

Data for PrHo2Pu3Se6 after structural relaxation.

Results
Space group ... C2/m (12)
Formation energy without anion corrections ... -19.97 eV/f.u.

Structure (POSCAR):
```
PrHo2Pu3Se6
1.0
-3.025 -0.037 2.805
2.548 -7.416 2.651
6.222 5.712 3.751
Pr Ho Pu Se
1 2 3 6
Direct
0.500 0.000 0.000
0.833 0.664 0.667
0.167 0.336 0.333
0.500 0.500 0.000
0.836 0.165 0.672
0.164 0.835 0.328
0.330 0.909 0.659
0.669 0.581 0.338
0.670 0.091 0.341
0.003 0.259 0.007
0.997 0.741 0.993
0.331 0.419 0.662
```

***

(4)
## VSnP2Cl (PBE)

Data for VSnP2Cl after structural relaxation.

Results
Space group ... P4/mmm (123)
Formation energy without anion corrections ... 0.07 eV/f.u.
Energy relative to the lowest polymorph listed for this composition ... 0 meV per atom

Structure (POSCAR):
```
VSnP2Cl
1.0
4.618 0.000 0.000
0.000 4.618 0.000
0.000 0.000 4.848
P Cl Sn V
2 1 1 1
Direct
0.000 0.500 0.000
0.500 0.000 0.000
0.000 0.000 0.500
0.500 0.500 0.500
0.000 0.000 0.000
```

***

(5)
## KNpSnTe3 (PBE)

Data for KNpSnTe3 after structural relaxation.

Results
Space group ... P2_1/m (11)
Formation energy without anion corrections ... -3.62 eV/f.u.

Structure (POSCAR):
```
KNpSnTe3
1.0
4.424 0.000 0.000
0.000 9.825 -0.840
0.000 -4.746 9.918
K Np Sn Te
2 2 2 6
Direct
0.750 0.770 0.799
0.250 0.230 0.201
0.250 0.702 0.196
0.750 0.298 0.804
0.250 0.099 0.464
0.750 0.901 0.536
0.250 0.673 0.473
0.750 0.914 0.182
0.750 0.456 0.131
0.750 0.327 0.527
0.250 0.544 0.869
0.250 0.086 0.818
```

***

(6)
## SrCuRu2 (PBE)

Data for SrCuRu2 after structural relaxation.

Results
ΔH_f (0 K) ... 0.900 eV per atom
Space group ... R-3m (166)
Energy relative to the lowest polymorph listed for this composition ... 744 meV per atom

Structure (POSCAR):
```
SrCuRu2
1.0
9.568 0.003 0.002
9.137 2.842 0.002
9.137 1.390 2.479
Cu Ru Sr
1 2 1
Direct
0.750 0.750 0.750
0.012 0.012 0.012
0.488 0.488 0.488
0.250 0.250 0.250
```

***

(7)
## Mn2Al2Rh (PBE)

Data for Mn2Al2Rh after structural relaxation.

Results
ΔH_f (0 K) ... -0.084 eV per atom
Space group ... P4/mbm (127)

Structure (POSCAR):
```
Mn2Al2Rh
1.0
-2.804 4.422 4.495
-6.218 -2.756 -1.167
0.423 -1.827 2.061
Mn Rh Al
4 2 4
Direct
0.398 0.898 0.000
0.898 0.602 0.000
0.602 0.102 0.000
0.102 0.398 0.000
0.000 0.000 0.000
0.500 0.500 0.000
0.191 0.691 0.500
0.691 0.809 0.500
0.809 0.309 0.500
0.309 0.191 0.500
```

***

(8)
## MnAlFe2H (PBE)

Data for MnAlFe2H after structural relaxation.

Results
Space group ... P4/mmm (123)
Energy relative to the lowest polymorph listed for this composition ... 149 meV per atom

Structure (POSCAR):
```
MnAlFe2H
1.0
3.612 0.000 0.000
0.000 3.612 0.000
0.000 0.000 3.968
H Mn Fe Al
1 1 2 1
Direct
0.000 0.000 0.000
0.500 0.500 0.500
0.000 0.500 0.000
0.500 0.000 0.000
0.000 0.000 0.500
```

***

DOS at the Fermi energy per entry: 0.051 0.674 2.286 0.682 1.759 1.228 1.144 0.567 states/eV/atom